Record 1
Material: AgMo2O7
Method: DFT, GGA+U
State: optimized geometry

Geometry as POSCAR:
```
AgMo2O7
1.0
-0.2807 3.7796 0.4040
-5.7760 -0.5736 1.3527
3.7544 -0.2154 4.6238
O Mo Ag
7 2 1
Cartesian
-0.4123 1.2975 5.5546 O
-1.8901 1.6932 0.8259 O
-1.1512 1.4953 3.1903 O
0.8365 -0.3251 3.6223 O
0.8672 1.7968 1.7722 O
-3.1695 1.1938 4.6083 O
-2.8581 -0.4639 2.3542 O
0.6702 1.5638 3.8154 Mo
-2.9725 1.4269 2.5651 Mo
0.0000 0.0000 0.0000 Ag
```

Crystal system: orthorhombic
M_tot: 0.00 μB/f.u.
Calculated total energy: -6.227 eV per atom

Record 2
Material: MnZnO3
Method: DFT, GGA+U
State: optimized geometry

Geometry as POSCAR:
```
MnZnO3
1.0
5.0834 0.0000 0.0000
0.0000 5.1863 0.0000
0.0000 0.0000 7.4206
O Zn Mn
12 4 4
Cartesian
1.6040 3.5744 4.1932 O
4.1457 4.2050 3.2274 O
0.9377 0.9812 6.9377 O
1.6040 3.5744 6.9377 O
3.4794 1.6119 0.4829 O
3.4794 1.6119 3.2274 O
4.1457 4.2050 0.4829 O
4.4695 2.9292 5.5654 O
0.6139 2.2570 1.8551 O
3.1556 0.3361 5.5654 O
1.9278 4.8502 1.8551 O
0.9377 0.9812 4.1932 O
2.5826 2.8350 1.8551 Zn
0.0409 4.9444 5.5654 Zn
2.5009 2.3513 5.5654 Zn
5.0426 0.2418 1.8551 Zn
0.0000 2.5931 0.0000 Mn
2.5417 0.0000 0.0000 Mn
2.5417 0.0000 3.7103 Mn
0.0000 2.5931 3.7103 Mn
```

Crystal system: orthorhombic
M_tot: 3.00 μB/f.u.
Calculated total energy: -6.017 eV per atom